Record 1
Rb2Tl2Hg15 (PBE-GGA, optimized geometry); E_form = -108 meV per atom; space group = No. 166; D(E_F) = 7.14 states/eV/cell
1.0
8.530 0.409 0.365
1.512 8.405 0.365
1.512 1.327 8.308
Hg Rb Tl
15 2 2
Direct
0.705 0.295 0.000
0.000 0.295 0.705
0.000 0.705 0.295
0.295 0.000 0.705
0.380 0.380 0.844
0.844 0.380 0.380
0.156 0.620 0.620
0.620 0.156 0.620
0.295 0.705 0.000
0.705 0.000 0.295
0.380 0.844 0.380
0.620 0.620 0.156
0.000 0.500 0.000
0.500 0.000 0.000
0.000 0.000 0.500
0.677 0.677 0.677
0.323 0.323 0.323
0.903 0.903 0.903
0.097 0.097 0.097

Record 2
ScCrCoSn2 (PBE-GGA, optimized geometry); E_form = 1444 meV per atom; space group = No. 123; D(E_F) = 8.96 states/eV/cell
1.0
-4.822 2.222 -0.078
-0.145 -0.165 4.236
2.216 4.818 0.264
Sn Cr Sc Co
2 1 1 1
Direct
0.500 0.000 0.000
0.000 0.000 0.500
0.500 0.500 0.500
0.000 0.000 0.000
0.000 0.500 0.000

Record 3
Dy5CoCu4 (PBE-GGA, optimized geometry); E_form = -231 meV per atom; space group = No. 123; D(E_F) = 5.86 states/eV/cell
1.0
-1.289 3.125 0.542
-3.169 -1.246 -0.352
-0.632 -3.235 17.150
Dy Cu Co
5 4 1
Direct
0.500 0.500 0.703
0.500 0.500 0.094
0.500 0.500 0.297
0.500 0.500 0.500
0.500 0.500 0.906
0.000 0.000 0.803
0.000 0.000 0.399
0.000 0.000 0.197
0.000 0.000 0.601
0.000 0.000 0.000

Record 4
LaScTaN3 (PBE-GGA, optimized geometry); uncorrected formation energy = -1.41 eV/atom; space group = No. 11; D(E_F) = 5.31 states/eV/cell
1.0
3.365 0.000 0.000
0.000 5.829 0.061
0.000 -2.138 8.220
Ta La N Sc
2 2 6 2
Direct
0.250 0.134 0.648
0.750 0.866 0.352
0.750 0.651 0.692
0.250 0.349 0.308
0.250 0.772 0.479
0.750 0.566 0.165
0.250 0.968 0.844
0.750 0.228 0.521
0.750 0.032 0.156
0.250 0.434 0.835
0.750 0.228 0.959
0.250 0.772 0.041

Record 5
ScMoBr2 (PBE-GGA, optimized geometry); uncorrected formation energy = 0.13 eV/atom; space group = No. 47; D(E_F) = 2.76 states/eV/cell; polymorph energy (0 for the lowest one) = 0.484 eV per atom
1.0
-3.066 -0.451 -1.027
-1.784 -0.554 5.570
-0.721 4.424 0.209
Br Mo Sc
2 1 1
Direct
0.000 0.000 0.000
0.500 0.500 0.000
0.500 0.000 0.500
0.000 0.500 0.500